DFT (GGA-PBE) results for a relaxed structure of KZn2Fe.

relative energy among the computed polymorphs	102	meV/atom
calculated formation energy	434	meV per atom
magnetization	2.53	μB/f.u.
V	21.897	Å³/atom
VASP energy	-2.593	eV per atom

Structure (CIF):
```
data_KZn2Fe
_chemical_formula_sum 'K2 Zn4 Fe2'
_cell_length_a 8.9556
_cell_length_b 2.8207
_cell_length_c 6.9632
_cell_angle_alpha 90.00
_cell_angle_beta 95.17
_cell_angle_gamma 90.00
_symmetry_space_group_name_H-M 'C 1 m 1'
_symmetry_Int_Tables_number 8
_symmetry_space_group_name_Hall 'C -2y'
loop_
_atom_site_label
_atom_site_type_symbol
_atom_site_fract_x
_atom_site_fract_y
_atom_site_fract_z
_atom_site_occupancy
K1 K 0.0000 0.0000 0.0000 1
Zn1 Zn 0.0046 0.5000 0.4584 1
Zn2 Zn 0.2357 0.0000 0.6538 1
Fe1 Fe 0.2719 0.5000 0.3656 1
```


DFT (GGA-PBE) results for a relaxed structure of K2ZnFe.

calculated formation energy	839	meV per atom
magnetization	3.06	μB/f.u.
V	33.774	Å³/atom
VASP energy	-2.144	eV per atom

Structure (CIF):
```
data_K2ZnFe
_chemical_formula_sum 'K4 Zn2 Fe2'
_cell_length_a 8.4616
_cell_length_b 8.6022
_cell_length_c 3.7120
_cell_angle_alpha 90.00
_cell_angle_beta 90.00
_cell_angle_gamma 90.00
_symmetry_space_group_name_H-M 'C m m m'
_symmetry_Int_Tables_number 65
_symmetry_space_group_name_Hall '-C 2 2'
loop_
_atom_site_label
_atom_site_type_symbol
_atom_site_fract_x
_atom_site_fract_y
_atom_site_fract_z
_atom_site_occupancy
K1 K 0.2500 0.2500 0.0000 1
Zn1 Zn 0.0000 0.0000 0.5000 1
Fe1 Fe 0.0000 0.5000 0.5000 1
```


DFT (GGA-PBE) results for a relaxed structure of KZn2Fe.

relative energy among the computed polymorphs	153	meV/atom
calculated formation energy	486	meV per atom
magnetization	2.36	μB/f.u.
V	18.137	Å³/atom
VASP energy	-2.541	eV per atom

Structure (CIF):
```
data_KZn2Fe
_chemical_formula_sum 'K3 Zn6 Fe3'
_cell_length_a 2.8872
_cell_length_b 2.8872
_cell_length_c 30.1475
_cell_angle_alpha 90.00
_cell_angle_beta 90.00
_cell_angle_gamma 120.00
_symmetry_space_group_name_H-M 'R -3 m'
_symmetry_Int_Tables_number 166
_symmetry_space_group_name_Hall '-R 3 2"'
loop_
_atom_site_label
_atom_site_type_symbol
_atom_site_fract_x
_atom_site_fract_y
_atom_site_fract_z
_atom_site_occupancy
K1 K 0.0000 0.0000 0.0000 1
Zn1 Zn 0.0000 0.0000 0.2344 1
Fe1 Fe 0.0000 0.0000 0.5000 1
```


DFT (GGA-PBE) results for a relaxed structure of K2ZnFe.

calculated formation energy	629	meV per atom
magnetization	2.48	μB/f.u.
V	33.414	Å³/atom
VASP energy	-2.354	eV per atom

Structure (CIF):
```
data_K2ZnFe
_chemical_formula_sum 'K4 Zn2 Fe2'
_cell_length_a 4.3250
_cell_length_b 5.8280
_cell_length_c 10.6049
_cell_angle_alpha 90.00
_cell_angle_beta 90.00
_cell_angle_gamma 90.00
_symmetry_space_group_name_H-M 'I m m 2'
_symmetry_Int_Tables_number 44
_symmetry_space_group_name_Hall 'I 2 -2'
loop_
_atom_site_label
_atom_site_type_symbol
_atom_site_fract_x
_atom_site_fract_y
_atom_site_fract_z
_atom_site_occupancy
K1 K 0.0000 0.0000 0.0000 1
K2 K 0.0000 0.5000 0.1956 1
Zn1 Zn 0.0000 0.5000 0.7901 1
Fe1 Fe 0.0000 0.0000 0.3922 1
```


DFT (GGA-PBE) results for a relaxed structure of KZn2Fe.

relative energy among the computed polymorphs	220	meV/atom
calculated formation energy	552	meV per atom
magnetization	2.66	μB/f.u.
V	27.620	Å³/atom
VASP energy	-2.475	eV per atom

Structure (CIF):
```
data_KZn2Fe
_chemical_formula_sum 'K4 Zn8 Fe4'
_cell_length_a 5.1023
_cell_length_b 5.1023
_cell_length_c 16.9747
_cell_angle_alpha 90.00
_cell_angle_beta 90.00
_cell_angle_gamma 90.00
_symmetry_space_group_name_H-M 'I -4 2 d'
_symmetry_Int_Tables_number 122
_symmetry_space_group_name_Hall 'I -4 2bw'
loop_
_atom_site_label
_atom_site_type_symbol
_atom_site_fract_x
_atom_site_fract_y
_atom_site_fract_z
_atom_site_occupancy
K1 K 0.0000 0.0000 0.0000 1
Zn1 Zn 0.0021 0.2500 0.6250 1
Fe1 Fe 0.0000 0.0000 0.5000 1
```


DFT (GGA-PBE) results for a relaxed structure of K2ZnFe.

calculated formation energy	845	meV per atom
magnetization	3.07	μB/f.u.
V	33.134	Å³/atom
VASP energy	-2.138	eV per atom

Structure (CIF):
```
data_K2ZnFe
_chemical_formula_sum 'K2 Zn1 Fe1'
_cell_length_a 3.7282
_cell_length_b 4.7761
_cell_length_c 7.4433
_cell_angle_alpha 90.00
_cell_angle_beta 90.28
_cell_angle_gamma 90.00
_symmetry_space_group_name_H-M 'P 1 2/m 1'
_symmetry_Int_Tables_number 10
_symmetry_space_group_name_Hall '-P 2y'
loop_
_atom_site_label
_atom_site_type_symbol
_atom_site_fract_x
_atom_site_fract_y
_atom_site_fract_z
_atom_site_occupancy
K1 K 0.0016 0.0000 0.2533 1
Zn1 Zn 0.5000 0.5000 0.0000 1
Fe1 Fe 0.5000 0.5000 0.5000 1
```


DFT (GGA-PBE) results for a relaxed structure of KZn2Fe.

relative energy among the computed polymorphs	489	meV/atom
calculated formation energy	821	meV per atom
magnetization	2.95	μB/f.u.
V	20.676	Å³/atom
VASP energy	-2.206	eV per atom

Structure (CIF):
```
data_KZn2Fe
_chemical_formula_sum 'K4 Zn8 Fe4'
_cell_length_a 6.9161
_cell_length_b 6.9161
_cell_length_c 6.9161
_cell_angle_alpha 90.00
_cell_angle_beta 90.00
_cell_angle_gamma 90.00
_symmetry_space_group_name_H-M 'F -4 3 m'
_symmetry_Int_Tables_number 216
_symmetry_space_group_name_Hall 'F -4 2 3'
loop_
_atom_site_label
_atom_site_type_symbol
_atom_site_fract_x
_atom_site_fract_y
_atom_site_fract_z
_atom_site_occupancy
K1 K 0.0000 0.0000 0.0000 1
Zn1 Zn 0.0000 0.0000 0.5000 1
Zn2 Zn 0.2500 0.2500 0.2500 1
Fe1 Fe 0.2500 0.2500 0.7500 1
```


DFT (GGA-PBE) results for a relaxed structure of K2ZnFe.

calculated formation energy	503	meV per atom
magnetization	2.48	μB/f.u.
V	31.776	Å³/atom
VASP energy	-2.480	eV per atom

Structure (CIF):
```
data_K2ZnFe
_chemical_formula_sum 'K2 Zn1 Fe1'
_cell_length_a 3.3939
_cell_length_b 3.6930
_cell_length_c 10.1410
_cell_angle_alpha 90.00
_cell_angle_beta 90.00
_cell_angle_gamma 90.00
_symmetry_space_group_name_H-M 'P m m 2'
_symmetry_Int_Tables_number 25
_symmetry_space_group_name_Hall 'P 2 -2'
loop_
_atom_site_label
_atom_site_type_symbol
_atom_site_fract_x
_atom_site_fract_y
_atom_site_fract_z
_atom_site_occupancy
K1 K 0.0000 0.0000 0.0000 1
K2 K 0.5000 0.5000 0.4150 1
Zn1 Zn 0.0000 0.0000 0.6832 1
Fe1 Fe 0.5000 0.5000 0.7294 1
```